Record 1
Entry from Alexandria: a relaxed ZnRh2W crystal (PBE).

The value obtained for the formation energy is -0.08 eV/atom. The calculated total energy comes out at -7.314 eV per atom.

The structure belongs to space group C2/m (No. 12); the cell edges are 8.8419, 2.7506 and 4.8550 Å and the angles 90.00°, 99.15° and 90.00°. The asymmetric unit holds Zn at (0.0000, 0.0000, 0.0000), Rh at (0.2503, 0.0000, 0.7491) and W at (0.0000, 0.5000, 0.5000).

Record 2
Entry from Alexandria: a relaxed ZnRh2W crystal (PBE).

The value obtained for the formation energy is -0.15 eV/atom. The calculated total energy comes out at -7.386 eV per atom.

The structure belongs to space group Cmmm (No. 65); the cell edges are 5.7160, 7.3334 and 2.7859 Å and the angles 90.00°, 90.00° and 90.00°. The asymmetric unit holds Zn at (0.0000, 0.0000, 0.0000), Rh at (0.2500, 0.2500, 0.5000) and W at (0.0000, 0.5000, 0.0000).

Record 3
Entry from Alexandria: a relaxed ZnRhW2 crystal (PBE).

The value obtained for the formation energy is 0.17 eV/atom. The calculated total energy comes out at -8.459 eV per atom.

The structure belongs to space group I-4m2 (No. 119); the cell edges are 3.9330, 3.9330 and 7.8344 Å and the angles 90.00°, 90.00° and 90.00°. The asymmetric unit holds Zn at (0.0000, 0.0000, 0.0000), Rh at (0.0000, 0.5000, 0.2500), W at (0.0000, 0.0000, 0.5000) and W at (0.0000, 0.5000, 0.7500).

Record 4
Entry from Alexandria: a relaxed ZnRh3W2 crystal (PBE).

The value obtained for the formation energy is -0.27 eV/atom. The calculated total energy comes out at -8.478 eV per atom.

The structure belongs to space group P4/mmm (No. 123); the cell edges are 2.8072, 2.8072 and 11.1427 Å and the angles 90.00°, 90.00° and 90.00°. The asymmetric unit holds Zn at (0.0000, 0.0000, 0.0000), Rh at (0.5000, 0.5000, 0.1613), Rh at (0.5000, 0.5000, 0.5000) and W at (0.0000, 0.0000, 0.3254).

Record 5
Entry from Alexandria: a relaxed ZnRhW2 crystal (PBE).

The value obtained for the formation energy is 0.18 eV/atom. The calculated total energy comes out at -8.455 eV per atom.

The structure belongs to space group F-43m (No. 216); the cell edges are 6.2508, 6.2508 and 6.2508 Å and the angles 90.00°, 90.00° and 90.00°. The asymmetric unit holds Zn at (0.0000, 0.0000, 0.0000), Rh at (0.2500, 0.2500, 0.7500), W at (0.0000, 0.0000, 0.5000) and W at (0.2500, 0.2500, 0.2500).

Record 6
Entry from Alexandria: a relaxed ZnRh2W crystal (PBE).

The value obtained for the formation energy is -0.02 eV/atom. The calculated total energy comes out at -7.252 eV per atom.

The structure belongs to space group R3m (No. 160, hexagonal axes); the cell edges are 2.7781, 2.7781 and 26.5656 Å and the angles 90.00°, 90.00° and 120.00°. The asymmetric unit holds Zn at (0.0000, 0.0000, 0.0000), Rh at (0.0000, 0.0000, 0.4982), Rh at (0.0000, 0.0000, 0.7443) and W at (0.0000, 0.0000, 0.2445).

Record 7
Entry from Alexandria: a relaxed ZnRhW2 crystal (PBE).

The value obtained for the formation energy is 0.74 eV/atom. The calculated total energy comes out at -7.895 eV per atom.

The structure belongs to space group I-42d (No. 122); the cell edges are 7.1357, 7.1357 and 5.1940 Å and the angles 90.00°, 90.00° and 90.00°. The asymmetric unit holds Zn at (0.0000, 0.0000, 0.0000), Rh at (0.0000, 0.0000, 0.5000) and W at (0.2335, 0.2500, 0.6250).

Record 8
Entry from Alexandria: a relaxed ZnRh2W crystal (PBE).

The value obtained for the formation energy is -0.11 eV/atom. The calculated total energy comes out at -7.343 eV per atom.

The structure belongs to space group F222 (No. 22); the cell edges are 5.2624, 5.2816 and 8.3334 Å and the angles 90.00°, 90.00° and 90.00°. The asymmetric unit holds Zn at (0.0000, 0.0000, 0.0000), Rh at (0.0000, 0.0000, 0.5000), Rh at (0.2500, 0.2500, 0.2500) and W at (0.2500, 0.2500, 0.7500).

Record 9
Entry from Alexandria: a relaxed ZnRh2W crystal (PBE).

The value obtained for the formation energy is 0.00 eV/atom. The calculated total energy comes out at -7.231 eV per atom.

The structure belongs to space group P4mm (No. 99); the cell edges are 2.7972, 2.7972 and 7.4448 Å and the angles 90.00°, 90.00° and 90.00°. The asymmetric unit holds Zn at (0.0000, 0.0000, 0.0000), Rh at (0.0000, 0.0000, 0.4905), Rh at (0.5000, 0.5000, 0.2260) and W at (0.5000, 0.5000, 0.7370).

Record 10
Entry from Alexandria: a relaxed ZnRhW4 crystal (PBE).

The value obtained for the formation energy is 0.54 eV/atom. The calculated total energy comes out at -9.530 eV per atom.

The structure belongs to space group F-43m (No. 216); the cell edges are 7.3998, 7.3998 and 7.3998 Å and the angles 90.00°, 90.00° and 90.00°. The asymmetric unit holds Zn at (0.0000, 0.0000, 0.0000), Rh at (0.2500, 0.2500, 0.2500) and W at (0.1264, 0.1264, 0.6264).

Record 11
Entry from Alexandria: a relaxed ZnRhW2 crystal (PBE).

The value obtained for the formation energy is -0.01 eV/atom. The calculated total energy comes out at -8.638 eV per atom.

The structure belongs to space group P4mm (No. 99); the cell edges are 2.7652, 2.7652 and 7.9100 Å and the angles 90.00°, 90.00° and 90.00°. The asymmetric unit holds Zn at (0.0000, 0.0000, 0.0000), Rh at (0.5000, 0.5000, 0.2323), W at (0.0000, 0.0000, 0.4640) and W at (0.5000, 0.5000, 0.7446).

Record 12
Entry from Alexandria: a relaxed ZnRhW2 crystal (PBE).

The value obtained for the formation energy is 0.06 eV/atom. The calculated total energy comes out at -8.571 eV per atom.

The structure belongs to space group Pmmm (No. 47); the cell edges are 2.7253, 4.1351 and 5.3186 Å and the angles 90.00°, 90.00° and 90.00°. The asymmetric unit holds Zn at (0.0000, 0.0000, 0.0000), Rh at (0.0000, 0.0000, 0.5000) and W at (0.5000, 0.5000, 0.2473).